(1)
# SrCd2Re

An optimized crystal structure of SrCd2Re (PBEsol, Alexandria).

Lattice parameters (Å, degrees): 4.5269 5.2524 4.5269 64.47 90.00 115.53
Last column: nearest neighbours and their distance in Å.
Sites, in units of the cell vectors:
Cd1 0.2500 0.5000 0.2500  4 Re 3.08, 4 Sr 3.08, 4 Cd 3.20
Cd2 0.7500 0.5000 0.7500  4 Re 3.08, 4 Sr 3.08, 4 Cd 3.20
Re1 0.5000 0.0000 0.5000  8 Cd 3.08, 4 Sr 3.20
Sr1 0.0000 0.0000 0.0000  8 Cd 3.08, 4 Re 3.20

Output
The polymorph energy (0 for the lowest one) is 0.09 eV/f.u.

=====

(2)
# Sr2CdRe

An optimized crystal structure of Sr2CdRe (PBEsol, Alexandria).

Lattice parameters (Å, degrees): 3.4202 3.4202 8.9575 90.00 90.00 90.00
Last column: nearest neighbours and their distance in Å.
Sites, in units of the cell vectors:
Cd1 0.5000 0.5000 0.0000  4 Cd 3.42, 8 Sr 3.46
Re1 0.5000 0.5000 0.5000  8 Sr 3.14, 4 Re 3.42
Sr1 0.0000 0.0000 0.7233  4 Re 3.14, 4 Sr 3.42, 4 Cd 3.46
Sr2 0.0000 0.0000 0.2767  4 Re 3.14, 4 Sr 3.42, 4 Cd 3.46

=====

(3)
# SrCd2Re

An optimized crystal structure of SrCd2Re (PBEsol, Alexandria).

Lattice parameters (Å, degrees): 2.9693 5.3285 6.1843 115.52 103.89 90.00
Last column: nearest neighbours and their distance in Å.
Sites, in units of the cell vectors:
Cd1 0.0174 0.0174 0.0348  4 Cd 2.97-3.06, 4 Re 3.07
Cd2 0.7658 0.2658 0.5317  2 Re 2.76, 4 Cd 2.97-3.06, 4 Sr 3.07
Re1 0.4819 0.4819 0.9638  6 Cd 2.76-3.07, 2 Re 2.97
Sr1 0.2349 0.7349 0.4698  2 Sr 2.97, 4 Cd 3.07, 2 Re 3.10

Output
The polymorph energy (0 for the lowest one) is 0.00 eV/f.u.

=====

(4)
# Ta2CdRe

An optimized crystal structure of Ta2CdRe (PBEsol, Alexandria).

Lattice parameters (Å, degrees): 3.9653 3.9653 5.1557 112.62 112.62 90.00
Last column: nearest neighbours and their distance in Å.
Sites, in units of the cell vectors:
Re1 0.2500 0.7500 0.5000  8 Ta 2.80-2.93, 4 Cd 2.93
Cd1 0.5000 0.5000 0.0000  8 Ta 2.80-2.93, 4 Re 2.93
Ta1 0.0000 0.0000 0.0000  4 Cd 2.80, 4 Re 2.93, 4 Ta 2.93
Ta2 0.7500 0.2500 0.5000  4 Re 2.80, 4 Cd 2.93, 4 Ta 2.93

=====

(5)
# Ta2CdRe

An optimized crystal structure of Ta2CdRe (PBEsol, Alexandria).

Lattice parameters (Å, degrees): 4.5887 4.5887 4.5887 60.00 60.00 60.00
Last column: nearest neighbours and their distance in Å.
Sites, in units of the cell vectors:
Re1 0.5000 0.5000 0.5000  8 Ta 2.81
Cd1 0.0000 0.0000 0.0000  8 Ta 2.81
Ta1 0.2500 0.2500 0.2500  4 Re 2.81, 4 Cd 2.81
Ta2 0.7500 0.7500 0.7500  4 Cd 2.81, 4 Re 2.81

=====

(6)
# TaCd2Re

An optimized crystal structure of TaCd2Re (PBEsol, Alexandria).

Lattice parameters (Å, degrees): 3.4051 4.2969 4.7406 90.00 90.00 90.00
Last column: nearest neighbours and their distance in Å.
Sites, in units of the cell vectors:
Re1 0.5000 0.0000 0.5000  4 Ta 2.74, 4 Cd 2.92
Cd1 0.0000 0.0000 0.0000  4 Cd 2.74, 4 Re 2.92
Cd2 0.5000 0.5000 0.0000  4 Cd 2.74, 4 Ta 2.92
Ta1 0.0000 0.5000 0.5000  4 Re 2.74, 4 Cd 2.92

Output
The polymorph energy (0 for the lowest one) is 0.00 eV/f.u.

=====

(7)
# Ta2CdRe

An optimized crystal structure of Ta2CdRe (PBEsol, Alexandria).

Lattice parameters (Å, degrees): 2.8088 2.8088 9.2479 90.00 90.00 109.43
Last column: nearest neighbours and their distance in Å.
Sites, in units of the cell vectors:
Re1 0.5000 0.5000 0.0000  4 Ta 2.68, 4 Re 2.81
Cd1 0.5000 0.5000 0.5000  4 Cd 2.81, 4 Ta 2.97
Ta1 0.0000 0.0000 0.2313  2 Re 2.68, 4 Ta 2.81, 2 Cd 2.97
Ta2 0.0000 0.0000 0.7687  2 Re 2.68, 4 Ta 2.81, 2 Cd 2.97

=====

(8)
# TaCdRe2

An optimized crystal structure of TaCdRe2 (PBEsol, Alexandria).

Lattice parameters (Å, degrees): 3.2890 3.2890 6.1060 90.00 90.00 90.00
Last column: nearest neighbours and their distance in Å.
Sites, in units of the cell vectors:
Cd1 0.5000 0.5000 0.5000  8 Re 2.87, 2 Ta 3.05
Re1 0.0000 0.0000 0.7750  4 Ta 2.70, 1 Re 2.75, 4 Cd 2.87
Re2 0.0000 0.0000 0.2250  4 Ta 2.70, 1 Re 2.75, 4 Cd 2.87
Ta1 0.5000 0.5000 0.0000  8 Re 2.70

=====

For reference, calculated formation energy by record: 0.70, 0.72, 0.68, 0.30, 0.27, 0.38, 0.07, 0.34 eV/atom.
For reference, electronic total energy by record: -3.6922, -3.8337, -3.7141, -9.6065, -9.6426, -6.6934, -9.8405, -9.7625 eV per atom.
For reference, size of the total moment by record: 1.3, 1.2, 0.0, 0.0, 0.0, 0.0, 0.0, 0.0 μB/f.u..